Below is a relaxed structure of ZnW2O7, with properties calculated at the PBE+U level.

The structure belongs to space group P2_1 (No. 4); the cell edges are 6.154, 7.838 and 8.822 Å and the angles 90.00°, 110.25° and 90.00°. The asymmetric unit holds Zn at (0.119, 0.000, 0.375), W at (0.101, 0.085, 0.777), W at (0.460, 0.504, 0.800), O at (0.073, 0.778, 0.265), O at (0.090, 0.440, 0.184), O at (0.139, 0.002, 0.597), O at (0.184, 0.611, 0.746), O at (0.356, 0.053, 0.987), O at (0.394, 0.281, 0.779) and O at (0.400, 0.071, 0.339).

As for the total DFT energy (no corrections): -67.7 eV per formula unit. The calculation puts the theoretical density at 4.53 g cm⁻³. As for the total moment: 0.1 μB per formula unit.